Below is a geometry-optimized NbNi2Ge structure, with properties calculated at the PBE level.

Lattice parameters (Å, degrees): 3.9754 5.1356 5.3578 90.00 90.00 90.00
Closest atoms and distances in Å follow each position.
Space group Pmmn (No. 59, origin choice 2)
One atom of each set of equivalent atoms:
Nb  0.2500  0.2500  0.1062 [2 per cell]  4 Ge 2.69-2.77, 6 Ni 2.70-2.79
Ni  0.2500  0.5055  0.6474 [4 per cell]  3 Ge 2.44-2.45, 4 Ni 2.51-2.62, 2 Nb 2.70
Ge  0.2500  0.7500  0.2550 [2 per cell]  6 Ni 2.44-2.45, 2 Nb 2.69

Summary:
M_tot ... 0.001 μB per formula unit
Total energy ... -6.88 eV/atom
Fermi-level density of states ... 7.25 states/eV/cell



Below is a geometry-optimized Sr2Mg structure, with properties calculated at the PBE level.

Lattice parameters (Å, degrees): 14.0937 4.4599 8.6289 90.00 106.94 90.00
Closest atoms and distances in Å follow each position.
Space group Cm (No. 8)
One atom of each set of equivalent atoms:
Sr  0.0000  0.0000  0.0000 [2 per cell]  4 Mg 3.68-3.69, 4 Sr 3.91
Sr  0.9996  0.0000  0.4998 [2 per cell]  4 Mg 4.08-4.09, 10 Sr 4.14-4.46
Sr  0.1941  0.5000  0.3074 [2 per cell]  3 Mg 3.56-3.66, 4 Sr 3.91-3.94
Sr  0.3055  0.0000  0.6936 [2 per cell]  3 Mg 3.56-3.66, 4 Sr 3.91-3.94
Mg  0.1715  0.5000  0.8740 [2 per cell]  2 Mg 3.44, 5 Sr 3.56-3.68
Mg  0.3282  0.0000  0.1272 [2 per cell]  2 Mg 3.44, 5 Sr 3.56-3.69

Summary:
M_tot ... 0.000 μB per formula unit
Total energy ... -1.62 eV/atom
Fermi-level density of states ... 10.90 states/eV/cell



Below is a geometry-optimized NdFe4Ge12 structure, with properties calculated at the PBE level.

Lattice parameters (Å, degrees): 8.4834 8.4834 8.4834 90.00 90.00 90.00
Closest atoms and distances in Å follow each position.
Space group Im-3 (No. 204)
One atom of each set of equivalent atoms:
Nd  0.0000  0.0000  0.0000 [2 per cell]  12 Ge 3.23
Fe  0.2500  0.2500  0.2500 [8 per cell]  6 Ge 2.36
Ge  0.0000  0.3420  0.1682 [24 per cell]  2 Fe 2.36

Summary:
M_tot ... 4.754 μB per formula unit
Total energy ... -5.51 eV/atom
Fermi-level density of states ... 33.88 states/eV/cell



Below is a geometry-optimized TbEr2ZrN4 structure, with properties calculated at the PBE level.

Lattice parameters (Å, degrees): 5.8706 3.3892 5.8819 90.00 109.28 90.00
Closest atoms and distances in Å follow each position.
Space group P2/m (No. 10)
One atom of each set of equivalent atoms:
Tb  0.0000  0.0000  0.0000 [1 per cell]  6 N 2.41-2.42
Er  0.5000  0.0000  0.5000 [1 per cell]  6 N 2.38-2.39
Er  0.5000  0.5000  0.0000 [1 per cell]  6 N 2.45-2.46
Zr  0.0000  0.5000  0.5000 [1 per cell]  6 N 2.33-2.35
N  0.2415  0.0000  0.7382 [2 per cell]  2 Zr 2.35, 3 Er 2.38-2.45, 1 Tb 2.41
N  0.2467  0.5000  0.2599 [2 per cell]  1 Zr 2.33, 3 Er 2.39-2.46, 2 Tb 2.42

Summary:
M_tot ... 0.000 μB per formula unit
Formation energy without anion corrections ... -1.752 eV/atom
Fermi-level density of states ... 1.08 states/eV/cell



Below is a geometry-optimized Ac3NdIn structure, with properties calculated at the PBE level.

Lattice parameters (Å, degrees): 6.4676 6.0388 10.2487 90.00 108.00 90.00
Closest atoms and distances in Å follow each position.
Space group Pm (No. 6)
One atom of each set of equivalent atoms:
Ac  0.0000  0.0000  0.0000 [1 per cell]  3 Nd 3.61, 2 In 3.63-3.81, 5 Ac 3.87-4.02
Ac  0.0055  0.5000  0.7597 [1 per cell]  6 Ac 3.49-3.90, 2 In 3.70
Ac  0.3816  0.0000  0.7528 [1 per cell]  8 Ac 3.66-4.05, 2 In 3.73-3.79, 1 Nd 3.73
Ac  0.4556  0.5000  0.5697 [1 per cell]  4 Ac 3.49-3.66, 2 In 3.70, 2 Nd 3.73
Ac  0.6201  0.5000  0.9896 [1 per cell]  1 Nd 3.42, 1 Ac 3.67, 2 In 3.71
Ac  0.8311  0.5000  0.3655 [1 per cell]  4 In 3.64-3.67, 4 Nd 3.66-3.86, 4 Ac 3.66-3.93
Nd  0.2037  0.0000  0.3702 [1 per cell]  3 In 3.47-3.79, 6 Ac 3.61-3.85, 2 Nd 3.73
Nd  0.2527  0.5000  0.1686 [1 per cell]  4 Ac 3.42-3.66, 2 In 3.64, 2 Nd 3.73
In  0.5769  0.0000  0.1894 [1 per cell]  3 Nd 3.47-3.64, 1 In 3.58, 6 Ac 3.63-3.81
In  0.7793  0.0000  0.5562 [1 per cell]  1 In 3.58, 2 Nd 3.62-3.79, 8 Ac 3.67-3.79

Summary:
M_tot ... 0.000 μB per formula unit
Fermi-level density of states ... 11.25 states/eV/cell
Distance to the lowest polymorph of the same formula ... 0.041 eV/atom



Below is a geometry-optimized AcTcGeO5 structure, with properties calculated at the PBE level.

Lattice parameters (Å, degrees): 6.6742 8.8830 9.0745 90.00 107.58 90.00
Closest atoms and distances in Å follow each position.
Space group C2/c (No. 15)
One atom of each set of equivalent atoms:
Ac  0.0000  0.0000  0.0000 [4 per cell]  6 O 2.50-2.58
Tc  0.0000  0.3361  0.2500 [4 per cell]  3 O 1.86-2.08
Ge  0.0000  0.3234  0.7500 [4 per cell]  4 O 1.79-1.80
O  0.0000  0.1268  0.2500 [4 per cell]  1 Tc 1.86
O  0.1115  0.4655  0.8901 [8 per cell]  1 Ge 1.79
O  0.1797  0.1830  0.7212 [8 per cell]  1 Ge 1.80

Summary:
M_tot ... 2.016 μB per formula unit
Formation energy without anion corrections ... -1.826 eV/atom



Below is a geometry-optimized SrTa4Al structure, with properties calculated at the PBE level.

Lattice parameters (Å, degrees): 8.0424 8.0424 8.0424 90.00 90.00 90.00
Closest atoms and distances in Å follow each position.
Space group F-43m (No. 216)
One atom of each set of equivalent atoms:
Sr  0.0000  0.0000  0.0000 [4 per cell]  12 Ta 3.33, 4 Al 3.48
Ta  0.1275  0.1275  0.6275 [16 per cell]  6 Ta 2.79-2.90
Al  0.2500  0.2500  0.2500 [4 per cell]  12 Ta 3.34, 4 Sr 3.48

Summary:
M_tot ... 0.000 μB per formula unit
Total energy ... -8.19 eV/atom
Fermi-level density of states ... 27.52 states/eV/cell



Below is a geometry-optimized HgOs4Rh structure, with properties calculated at the PBE level.

Lattice parameters (Å, degrees): 7.3369 7.3369 7.3369 90.00 90.00 90.00
Closest atoms and distances in Å follow each position.
Space group F-43m (No. 216)
One atom of each set of equivalent atoms:
Hg  0.0000  0.0000  0.0000 [4 per cell]  12 Os 3.04, 4 Rh 3.18
Os  0.1241  0.1241  0.6241 [16 per cell]  6 Os 2.58-2.61
Rh  0.2500  0.2500  0.2500 [4 per cell]  12 Os 3.04, 4 Hg 3.18

Summary:
M_tot ... 0.005 μB per formula unit
Total energy ... -7.82 eV/atom
Fermi-level density of states ... 42.31 states/eV/cell



Below is a geometry-optimized HfPaRe structure, with properties calculated at the PBE level.

Lattice parameters (Å, degrees): 3.3793 3.3793 10.9907 90.00 90.00 90.00
Closest atoms and distances in Å follow each position.
Space group I4mm (No. 107)
One atom of each set of equivalent atoms:
Hf  0.0000  0.0000  0.0000 [2 per cell]  4 Re 2.90
Pa  0.0000  0.0000  0.7004 [2 per cell]  4 Re 2.91, 4 Hf 3.25
Re  0.0000  0.0000  0.3509 [2 per cell]  4 Hf 2.90, 4 Pa 2.91

Summary:
M_tot ... 0.000 μB per formula unit
Fermi-level density of states ... 6.58 states/eV/cell
Distance to the lowest polymorph of the same formula ... 0.000 eV/atom



Below is a geometry-optimized RhC2 structure, with properties calculated at the PBE level.

Lattice parameters (Å, degrees): 2.5811 15.5552 2.6701 90.00 90.00 90.00
Closest atoms and distances in Å follow each position.
Space group Cmmm (No. 65)
One atom of each set of equivalent atoms:
Rh  0.0000  0.1233  0.0000 [4 per cell]  4 C 2.09-2.31
C  0.0000  0.0000  0.5000 [2 per cell]  4 C 1.86
C  0.0000  0.2263  0.5000 [4 per cell]  2 C 1.49
C  0.0000  0.5000  0.0000 [2 per cell]  4 C 1.86

Summary:
M_tot ... 0.000 μB per formula unit
Fermi-level density of states ... 7.09 states/eV/cell
Distance to the lowest polymorph of the same formula ... 0.764 eV/atom



Below is a geometry-optimized ZnReN2F structure, with properties calculated at the PBE level.

Lattice parameters (Å, degrees): 3.9504 3.9504 3.7136 90.00 90.00 90.00
Closest atoms and distances in Å follow each position.
Space group P4/mmm (No. 123)
One atom of each set of equivalent atoms:
Zn  0.0000  0.0000  0.0000 [1 per cell]  2 F 1.86, 4 N 1.98
Re  0.5000  0.5000  0.5000 [1 per cell]  8 N 2.71, 4 F 2.79
N  0.0000  0.5000  0.0000 [2 per cell]  2 Zn 1.98
F  0.0000  0.0000  0.5000 [1 per cell]  2 Zn 1.86

Summary:
M_tot ... 2.619 μB per formula unit
Formation energy without anion corrections ... 1.303 eV/atom
Fermi-level density of states ... 1.94 states/eV/cell
Distance to the lowest polymorph of the same formula ... 1.209 eV/atom



Below is a geometry-optimized Pm2TmRh structure, with properties calculated at the PBE level.

Lattice parameters (Å, degrees): 3.6662 3.6662 31.7786 90.00 90.00 120.00
Closest atoms and distances in Å follow each position.
Space group R-3m (No. 166, hexagonal axes)
One atom of each set of equivalent atoms:
Pm  0.0000  0.0000  0.1088 [6 per cell]  3 Rh 2.80
Tm  0.0000  0.0000  0.0000 [3 per cell]  2 Pm 3.46, 6 Tm 3.67
Rh  0.0000  0.0000  0.5000 [3 per cell]  6 Pm 2.80

Summary:
M_tot ... 0.001 μB per formula unit
Fermi-level density of states ... 15.57 states/eV/cell
Distance to the lowest polymorph of the same formula ... 0.407 eV/atom



Below is a geometry-optimized BaIn4Hg structure, with properties calculated at the PBE level.

Lattice parameters (Å, degrees): 4.8589 18.5331 7.9362 90.00 90.00 90.00
Closest atoms and distances in Å follow each position.
Space group Cmcm (No. 63)
One atom of each set of equivalent atoms:
Ba  0.0000  0.1207  0.2500 [4 per cell]  9 In 3.48-3.85, 2 Hg 3.67
In  0.0000  0.0669  0.7500 [4 per cell]  1 Hg 3.05, 4 In 3.37
In  0.0000  0.3278  0.0564 [8 per cell]  3 Hg 3.02-3.08, 2 In 3.07-3.22
In  0.0000  0.5000  0.0000 [4 per cell]  6 In 3.22-3.37
Hg  0.0000  0.2312  0.7500 [4 per cell]  7 In 3.02-3.08

Summary:
M_tot ... 0.000 μB per formula unit
Fermi-level density of states ... 11.49 states/eV/cell
Distance to the lowest polymorph of the same formula ... 0.000 eV/atom



Below is a geometry-optimized Pd2PbAu structure, with properties calculated at the PBE level.

Lattice parameters (Å, degrees): 3.0907 4.8665 10.8463 90.00 90.00 90.00
Closest atoms and distances in Å follow each position.
Space group Immm (No. 71)
One atom of each set of equivalent atoms:
Pd  0.0000  0.0000  0.2505 [4 per cell]  1 Au 2.71, 1 Pb 2.72, 4 Pd 2.88
Pb  0.0000  0.0000  0.0000 [2 per cell]  2 Pd 2.72, 4 Au 2.88
Au  0.0000  0.0000  0.5000 [2 per cell]  2 Pd 2.71, 4 Pb 2.88

Summary:
M_tot ... 0.000 μB per formula unit
Total energy ... -4.19 eV/atom
Fermi-level density of states ... 5.80 states/eV/cell



Below is a geometry-optimized TiGePt4 structure, with properties calculated at the PBE level.

Lattice parameters (Å, degrees): 4.6255 9.0767 4.6054 90.00 105.32 90.00
Closest atoms and distances in Å follow each position.
Space group C2/m (No. 12)
One atom of each set of equivalent atoms:
Ti  0.0000  0.0000  0.0000 [2 per cell]  8 Pt 2.70-2.72, 2 Ge 2.80
Ge  0.0000  0.5000  0.5000 [2 per cell]  8 Pt 2.71-2.72, 2 Ti 2.80
Pt  0.0000  0.1551  0.5000 [4 per cell]  2 Ti 2.70, 2 Ge 2.71, 7 Pt 2.80-2.88
Pt  0.0000  0.3413  0.0000 [4 per cell]  2 Ge 2.72, 2 Ti 2.72, 7 Pt 2.80-2.88

Summary:
M_tot ... 0.000 μB per formula unit
Total energy ... -6.71 eV/atom
Fermi-level density of states ... 5.26 states/eV/cell



Below is a geometry-optimized Rb2AlAu4 structure, with properties calculated at the PBE level.

Lattice parameters (Å, degrees): 5.0709 5.0709 17.6298 90.00 90.00 90.00
Closest atoms and distances in Å follow each position.
Space group I4/mmm (No. 139)
One atom of each set of equivalent atoms:
Rb  0.0000  0.0000  0.1492 [4 per cell]  9 Au 3.59-3.65
Al  0.0000  0.0000  0.5000 [2 per cell]  6 Au 2.54
Au  0.0000  0.0000  0.3560 [4 per cell]  1 Al 2.54
Au  0.0000  0.5000  0.0000 [4 per cell]  2 Al 2.54

Summary:
M_tot ... 0.000 μB per formula unit
Total energy ... -2.88 eV/atom
Fermi-level density of states ... 2.61 states/eV/cell



Below is a geometry-optimized Cu2H2Se2O7 structure, with properties calculated at the PBE level.

Lattice parameters (Å, degrees): 8.5444 7.5879 10.6570 90.00 110.13 90.00
Closest atoms and distances in Å follow each position.
Space group P2_1/c (No. 14)
One atom of each set of equivalent atoms:
Cu  0.0717  0.2036  0.0202 [4 per cell]  4 O 2.00-2.04
Cu  0.3455  0.2067  0.3901 [4 per cell]  4 O 1.94-1.98
H  0.1654  0.5796  0.1032 [4 per cell]  1 O 1.00
H  0.2723  0.7469  0.5773 [4 per cell]  1 O 1.00
Se  0.0589  0.5945  0.7857 [4 per cell]  3 O 1.75-1.77
Se  0.4813  0.0608  0.1639 [4 per cell]  3 O 1.72-1.76
O  0.0271  0.0189  0.8788 [4 per cell]  1 Se 1.75
O  0.1204  0.1166  0.6689 [4 per cell]  1 H 1.74, 1 Se 1.77
O  0.1271  0.1079  0.3647 [4 per cell]  1 Se 1.75, 1 Cu 1.94
O  0.1622  0.6919  0.0532 [4 per cell]  2 H 1.00
O  0.3176  0.1800  0.0484 [4 per cell]  1 Se 1.76
O  0.3950  0.0201  0.2848 [4 per cell]  1 Se 1.72
O  0.4551  0.6504  0.5939 [4 per cell]  1 H 1.68, 1 Se 1.75

Summary:
M_tot ... 1.981 μB per formula unit
Total energy ... -5.10 eV/atom
Fermi-level density of states ... 0.41 states/eV/cell



Below is a geometry-optimized LiLaY2In4 structure, with properties calculated at the PBE level.

Lattice parameters (Å, degrees): 5.2748 5.2748 26.7880 90.00 90.00 120.00
Closest atoms and distances in Å follow each position.
Space group R-3m (No. 166, hexagonal axes)
One atom of each set of equivalent atoms:
Li  0.0000  0.0000  0.0000 [3 per cell]  8 In 3.22
La  0.0000  0.0000  0.5000 [3 per cell]  8 In 3.29-3.43
Y  0.0000  0.0000  0.2547 [6 per cell]  7 In 3.14-3.24
In  0.0000  0.0000  0.1200 [6 per cell]  1 Li 3.22, 3 Y 3.24, 3 La 3.29
In  0.0000  0.0000  0.3719 [6 per cell]  4 Y 3.14-3.23, 3 Li 3.22, 1 La 3.43

Summary:
M_tot ... 0.000 μB per formula unit
Total energy ... -4.27 eV/atom
Fermi-level density of states ... 12.82 states/eV/cell



Below is a geometry-optimized TaGaHgN2 structure, with properties calculated at the PBE level.

Lattice parameters (Å, degrees): 3.9535 3.9535 4.9571 90.00 90.00 90.00
Closest atoms and distances in Å follow each position.
Space group P4/mmm (No. 123)
One atom of each set of equivalent atoms:
Ta  0.0000  0.0000  0.0000 [1 per cell]  4 Hg 2.80
Ga  0.5000  0.5000  0.5000 [1 per cell]  4 N 1.98
Hg  0.5000  0.5000  0.0000 [1 per cell]  2 Ga 2.48
N  0.0000  0.5000  0.5000 [2 per cell]  2 Ga 1.98

Summary:
M_tot ... 0.000 μB per formula unit
Formation energy without anion corrections ... 1.635 eV/atom
Fermi-level density of states ... 4.18 states/eV/cell



Below is a geometry-optimized AcGd2Tm structure, with properties calculated at the PBE level.

Lattice parameters (Å, degrees): 3.7040 3.7040 10.1728 90.00 90.00 90.00
Closest atoms and distances in Å follow each position.
Space group P4/mmm (No. 123)
One atom of each set of equivalent atoms:
Ac  0.0000  0.0000  0.0000 [1 per cell]  4 Ac 3.70, 8 Gd 3.78
Gd  0.5000  0.5000  0.2675 [2 per cell]  4 Tm 3.53, 4 Gd 3.70, 4 Ac 3.78
Tm  0.0000  0.0000  0.5000 [1 per cell]  8 Gd 3.53, 4 Tm 3.70

Summary:
M_tot ... 15.115 μB per formula unit
Fermi-level density of states ... 7.24 states/eV/cell
Distance to the lowest polymorph of the same formula ... 0.007 eV/atom